Version P
A plane-wave DFT calculation with PBE was carried out for PmHf3 after structural relaxation.

Unit cell a=4.6126 b=4.6126 c=5.6312 alpha=114.18 beta=114.18 gamma=90.00
Sites, in units of the cell vectors:
Hf (0.7500, 0.2500, 0.5000)
Hf (0.2500, 0.7500, 0.5000)
Hf (0.5000, 0.5000, 0.0000)
Pm (0.0000, 0.0000, 0.0000)

Summary:
Fermi-level density of states ... 4.37 states/eV/cell
Calculated volume ... 97.67 Å³ per cell


Version Q
A plane-wave DFT calculation with PBE was carried out for PmHf3 after structural relaxation.

Unit cell a=4.6118 b=4.6118 c=4.6118 alpha=90.00 beta=90.00 gamma=90.00
Sites, in units of the cell vectors:
Hf (0.5000, 0.0000, 0.5000)
Hf (0.5000, 0.5000, 0.0000)
Hf (0.0000, 0.5000, 0.5000)
Pm (0.0000, 0.0000, 0.0000)

Summary:
Fermi-level density of states ... 5.17 states/eV/cell
Calculated volume ... 98.09 Å³ per cell


Version R
A plane-wave DFT calculation with PBE was carried out for PmHf3 after structural relaxation.

Unit cell a=3.2816 b=5.1997 c=5.8141 alpha=90.00 beta=90.00 gamma=90.00
Sites, in units of the cell vectors:
Hf (0.5000, 0.0000, 0.5260)
Hf (0.5000, 0.5000, 0.8280)
Hf (0.0000, 0.0000, 0.9838)
Pm (0.0000, 0.5000, 0.3289)

Summary:
Fermi-level density of states ... 3.77 states/eV/cell
Calculated volume ... 99.21 Å³ per cell


Calculated relative energies: version P 6.1; version Q 7.4; version R 0.0, given in kJ/mol of atoms


Version P
A plane-wave DFT calculation with PBE was carried out for PmHfPt after structural relaxation.

Unit cell a=4.4007 b=4.4743 c=4.4743 alpha=120.00 beta=90.00 gamma=90.00
Sites, in units of the cell vectors:
Pt (0.1456, 0.0000, 0.0000)
Hf (0.1795, 0.3333, 0.6667)
Pm (0.6750, 0.6667, 0.3333)

Summary:
Fermi-level density of states ... 2.69 states/eV/cell
Calculated volume ... 76.29 Å³ per cell


Version Q
A plane-wave DFT calculation with PBE was carried out for PmHfPt after structural relaxation.

Unit cell a=4.5565 b=4.5565 c=7.7582 alpha=107.08 beta=107.08 gamma=90.00
Sites, in units of the cell vectors:
Pt (0.8884, 0.8884, 0.7768)
Pt (0.1116, 0.1116, 0.2232)
Pm (0.3161, 0.3161, 0.6322)
Pm (0.6839, 0.6839, 0.3678)
Hf (0.0000, 0.5000, 0.0000)
Hf (0.5000, 0.0000, 0.0000)

Summary:
Fermi-level density of states ... 5.50 states/eV/cell
Calculated volume ... 146.53 Å³ per cell


Calculated relative energies: version P 16.6; version Q 0.0, given in kJ/mol of atoms


Version P
A plane-wave DFT calculation with PBE was carried out for PmHfPt2 after structural relaxation.

Unit cell a=4.5863 b=4.5863 c=5.5158 alpha=65.43 beta=65.43 gamma=60.00
Sites, in units of the cell vectors:
Hf (0.5000, 0.5000, 0.5000)
Pt (0.7854, 0.7854, 0.6439)
Pt (0.2146, 0.2146, 0.3561)
Pm (0.0000, 0.0000, 0.0000)

Summary:
Fermi-level density of states ... 3.04 states/eV/cell
Calculated volume ... 88.14 Å³ per cell


Version Q
A plane-wave DFT calculation with PBE was carried out for PmHfPt2 after structural relaxation.

Unit cell a=4.4855 b=5.7533 c=7.4171 alpha=116.07 beta=90.00 gamma=90.00
Sites, in units of the cell vectors:
Pm (0.2500, 0.2801, 0.0960)
Pm (0.7500, 0.7199, 0.9040)
Pt (0.2500, 0.8533, 0.2280)
Pt (0.2500, 0.7223, 0.6046)
Pt (0.7500, 0.2777, 0.3954)
Pt (0.7500, 0.1467, 0.7720)
Hf (0.2500, 0.2406, 0.5991)
Hf (0.7500, 0.7594, 0.4009)

Summary:
Fermi-level density of states ... 4.53 states/eV/cell
Calculated volume ... 171.94 Å³ per cell


Version R
A plane-wave DFT calculation with PBE was carried out for PmHfPt2 after structural relaxation.

Unit cell a=4.8803 b=4.8803 c=4.8803 alpha=60.00 beta=60.00 gamma=60.00
Sites, in units of the cell vectors:
Pt (0.2500, 0.2500, 0.2500)
Pt (0.7500, 0.7500, 0.7500)
Pm (0.5000, 0.5000, 0.5000)
Hf (0.0000, 0.0000, 0.0000)

Summary:
Fermi-level density of states ... 2.76 states/eV/cell
Calculated volume ... 82.19 Å³ per cell


Version S
A plane-wave DFT calculation with PBE was carried out for PmHfPt2 after structural relaxation.

Unit cell a=3.3330 b=3.3330 c=7.4407 alpha=90.00 beta=90.00 gamma=90.00
Sites, in units of the cell vectors:
Pm (0.5000, 0.5000, 0.5000)
Pt (0.0000, 0.0000, 0.7955)
Pt (0.0000, 0.0000, 0.2045)
Hf (0.5000, 0.5000, 0.0000)

Summary:
Fermi-level density of states ... 2.21 states/eV/cell
Calculated volume ... 82.66 Å³ per cell


Calculated relative energies: version P 4.5; version Q 0.0; version R 18.3; version S 2.9, given in kJ/mol of atoms


Version P
A plane-wave DFT calculation with PBE was carried out for PmPuHf after structural relaxation.

Unit cell a=3.2757 b=3.2757 c=15.4457 alpha=96.09 beta=96.09 gamma=90.00
Sites, in units of the cell vectors:
Pu (0.1414, 0.1414, 0.2828)
Pu (0.8586, 0.8586, 0.7172)
Pm (0.5570, 0.5570, 0.1140)
Pm (0.4430, 0.4430, 0.8860)
Hf (0.2844, 0.2844, 0.5688)
Hf (0.7156, 0.7156, 0.4312)

Summary:
Fermi-level density of states ... 15.04 states/eV/cell
Calculated volume ... 163.86 Å³ per cell


Version Q
A plane-wave DFT calculation with PBE was carried out for PmPuHf after structural relaxation.

Unit cell a=3.3443 b=3.3443 c=8.3233 alpha=90.00 beta=90.00 gamma=120.00
Sites, in units of the cell vectors:
Pm (0.0000, 0.0000, 0.9902)
Hf (0.3333, 0.6667, 0.6580)
Pu (0.6667, 0.3333, 0.3518)

Summary:
Fermi-level density of states ... 8.41 states/eV/cell
Calculated volume ... 80.62 Å³ per cell


Version R
A plane-wave DFT calculation with PBE was carried out for PmPuHf after structural relaxation.

Unit cell a=3.3234 b=3.3234 c=7.6745 alpha=102.50 beta=102.50 gamma=90.00
Sites, in units of the cell vectors:
Hf (0.6738, 0.6738, 0.3475)
Pm (0.0043, 0.0043, 0.0086)
Pu (0.3219, 0.3219, 0.6438)

Summary:
Fermi-level density of states ... 6.54 states/eV/cell
Calculated volume ... 80.69 Å³ per cell


Calculated relative energies: version P 1.8; version Q 3.1; version R 0.0, given in kJ/mol of atoms


Version P
A plane-wave DFT calculation with PBE was carried out for PmHfRh2 after structural relaxation.

Unit cell a=4.4655 b=4.4655 c=5.4275 alpha=65.71 beta=65.71 gamma=60.00
Sites, in units of the cell vectors:
Rh (0.2765, 0.2765, 0.1706)
Rh (0.7235, 0.7235, 0.8294)
Hf (0.0000, 0.0000, 0.0000)
Pm (0.5000, 0.5000, 0.5000)

Summary:
Fermi-level density of states ... 2.87 states/eV/cell
Calculated volume ... 82.48 Å³ per cell


Version Q
A plane-wave DFT calculation with PBE was carried out for PmHfRh2 after structural relaxation.

Unit cell a=3.3328 b=3.3328 c=7.0317 alpha=90.00 beta=90.00 gamma=90.00
Sites, in units of the cell vectors:
Hf (0.5000, 0.5000, 0.0000)
Pm (0.5000, 0.5000, 0.5000)
Rh (0.0000, 0.0000, 0.2140)
Rh (0.0000, 0.0000, 0.7860)

Summary:
Fermi-level density of states ... 2.31 states/eV/cell
Calculated volume ... 78.10 Å³ per cell


Version R
A plane-wave DFT calculation with PBE was carried out for PmHfRh2 after structural relaxation.

Unit cell a=4.7901 b=4.7901 c=4.7901 alpha=60.00 beta=60.00 gamma=60.00
Sites, in units of the cell vectors:
Rh (0.2500, 0.2500, 0.2500)
Rh (0.7500, 0.7500, 0.7500)
Hf (0.5000, 0.5000, 0.5000)
Pm (0.0000, 0.0000, 0.0000)

Summary:
Fermi-level density of states ... 1.63 states/eV/cell
Calculated volume ... 77.72 Å³ per cell


Calculated relative energies: version P 10.4; version Q 0.0; version R 11.5, given in kJ/mol of atoms


Version P
A plane-wave DFT calculation with PBE was carried out for PmHf2Rh after structural relaxation.

Unit cell a=3.3416 b=3.3416 c=7.8745 alpha=90.00 beta=90.00 gamma=90.00
Sites, in units of the cell vectors:
Hf (0.0000, 0.0000, 0.8032)
Hf (0.0000, 0.0000, 0.1968)
Pm (0.5000, 0.5000, 0.5000)
Rh (0.5000, 0.5000, 0.0000)

Summary:
Fermi-level density of states ... 5.25 states/eV/cell
Calculated volume ... 87.93 Å³ per cell


Version Q
A plane-wave DFT calculation with PBE was carried out for PmHf2Rh after structural relaxation.

Unit cell a=4.8614 b=4.8614 c=4.8868 alpha=60.17 beta=60.17 gamma=60.00
Sites, in units of the cell vectors:
Hf (0.7510, 0.7510, 0.7471)
Hf (0.2490, 0.2490, 0.2529)
Pm (0.0000, 0.0000, 0.0000)
Rh (0.5000, 0.5000, 0.5000)

Summary:
Fermi-level density of states ... 5.18 states/eV/cell
Calculated volume ... 81.87 Å³ per cell


Calculated relative energies: version P 0.0; version Q 25.4, given in kJ/mol of atoms


Version P
A plane-wave DFT calculation with PBE was carried out for PmHfRh after structural relaxation.

Unit cell a=3.3970 b=3.3970 c=6.4065 alpha=105.37 beta=105.37 gamma=90.00
Sites, in units of the cell vectors:
Hf (0.2956, 0.2956, 0.5913)
Rh (0.6925, 0.6925, 0.3850)
Pm (0.0119, 0.0119, 0.0237)

Summary:
Fermi-level density of states ... 4.13 states/eV/cell
Calculated volume ... 68.53 Å³ per cell


Version Q
A plane-wave DFT calculation with PBE was carried out for PmHfRh after structural relaxation.

Unit cell a=4.6228 b=4.6228 c=6.6867 alpha=90.00 beta=90.00 gamma=90.00
Sites, in units of the cell vectors:
Pm (0.5000, 0.0000, 0.1280)
Pm (0.0000, 0.5000, 0.8720)
Hf (0.0000, 0.0000, 0.5000)
Hf (0.5000, 0.5000, 0.5000)
Rh (0.0000, 0.5000, 0.3000)
Rh (0.5000, 0.0000, 0.7000)

Summary:
Fermi-level density of states ... 6.39 states/eV/cell
Calculated volume ... 142.89 Å³ per cell


Calculated relative energies: version P 16.4; version Q 0.0, given in kJ/mol of atoms


Version P
A plane-wave DFT calculation with PBE was carried out for Pm2HfS5 after structural relaxation.

Unit cell a=7.3585 b=7.9369 c=11.6111 alpha=90.00 beta=90.00 gamma=90.00
Sites, in units of the cell vectors:
Pm (0.9675, 0.9984, 0.6767)
Pm (0.4675, 0.4984, 0.8233)
Pm (0.4675, 0.0016, 0.8233)
Pm (0.9675, 0.5016, 0.6767)
Pm (0.0325, 0.0016, 0.3233)
Pm (0.0325, 0.4984, 0.3233)
Pm (0.5325, 0.5016, 0.1767)
Pm (0.5325, 0.9984, 0.1767)
S (0.6640, 0.0355, 0.4135)
S (0.1800, 0.2500, 0.7943)
S (0.6800, 0.7500, 0.7057)
S (0.8360, 0.4645, 0.9135)
S (0.8200, 0.7500, 0.2057)
S (0.1584, 0.7500, 0.8170)
S (0.8360, 0.0355, 0.9135)
S (0.3416, 0.7500, 0.3170)
S (0.4427, 0.2500, 0.0047)
S (0.3360, 0.5355, 0.5865)
S (0.1640, 0.5355, 0.0865)
S (0.6584, 0.2500, 0.6830)
S (0.5573, 0.7500, 0.9953)
S (0.3360, 0.9645, 0.5865)
S (0.1640, 0.9645, 0.0865)
S (0.6640, 0.4645, 0.4135)
S (0.8416, 0.2500, 0.1830)
S (0.0573, 0.2500, 0.5047)
S (0.3200, 0.2500, 0.2943)
S (0.9427, 0.7500, 0.4953)
Hf (0.0741, 0.2500, 0.0072)
Hf (0.9259, 0.7500, 0.9928)
Hf (0.4259, 0.2500, 0.5072)
Hf (0.5741, 0.7500, 0.4928)

Summary:
Calculated volume ... 678.13 Å³ per cell


Version Q
A plane-wave DFT calculation with PBE was carried out for Pm2HfS5 after structural relaxation.

Unit cell a=5.2304 b=7.2869 c=12.9455 alpha=90.00 beta=90.00 gamma=111.03
Sites, in units of the cell vectors:
Hf (0.1853, 0.3706, 0.2500)
Hf (0.8147, 0.6294, 0.7500)
S (0.0492, 0.0983, 0.3765)
S (0.3000, 0.6001, 0.0896)
S (0.9508, 0.9017, 0.6235)
S (0.9508, 0.9017, 0.8765)
S (0.3000, 0.6001, 0.4104)
S (0.7000, 0.3999, 0.9104)
S (0.2721, 0.5443, 0.7500)
S (0.7000, 0.3999, 0.5896)
S (0.7279, 0.4557, 0.2500)
S (0.0492, 0.0983, 0.1235)
Pm (0.8561, 0.7122, 0.0641)
Pm (0.8561, 0.7122, 0.4359)
Pm (0.1439, 0.2878, 0.9359)
Pm (0.1439, 0.2878, 0.5641)

Summary:
Fermi-level density of states ... 0.00 states/eV/cell
Calculated volume ... 460.53 Å³ per cell


Calculated relative energies: version P 0.0; version Q 10.0, given in kJ/mol of atoms


Version P
A plane-wave DFT calculation with PBE was carried out for PmSmHf after structural relaxation.

Unit cell a=3.7866 b=3.7866 c=12.8076 alpha=90.00 beta=90.00 gamma=90.00
Sites, in units of the cell vectors:
Hf (0.0000, 0.5000, 0.9493)
Hf (0.5000, 0.0000, 0.0507)
Sm (0.0000, 0.5000, 0.2041)
Sm (0.5000, 0.0000, 0.7959)
Pm (0.0000, 0.5000, 0.5949)
Pm (0.5000, 0.0000, 0.4051)

Summary:
Fermi-level density of states ... 8.90 states/eV/cell
Calculated volume ... 183.64 Å³ per cell


Version Q
A plane-wave DFT calculation with PBE was carried out for PmSmHf after structural relaxation.

Unit cell a=3.3936 b=5.4477 c=5.4477 alpha=120.00 beta=90.00 gamma=90.00
Sites, in units of the cell vectors:
Hf (0.1659, 0.3333, 0.6667)
Pm (0.1673, 0.0000, 0.0000)
Sm (0.6668, 0.6667, 0.3333)

Summary:
Fermi-level density of states ... 5.40 states/eV/cell
Calculated volume ... 87.22 Å³ per cell


Version R
A plane-wave DFT calculation with PBE was carried out for PmSmHf after structural relaxation.

Unit cell a=3.3885 b=3.3885 c=8.0398 alpha=102.17 beta=102.17 gamma=90.00
Sites, in units of the cell vectors:
Hf (0.6660, 0.6660, 0.3320)
Sm (0.0134, 0.0134, 0.0269)
Pm (0.3206, 0.3206, 0.6412)

Summary:
Fermi-level density of states ... 4.25 states/eV/cell
Calculated volume ... 88.12 Å³ per cell


Calculated relative energies: version P 0.0; version Q 11.1; version R 1.6, given in kJ/mol of atoms


Version P
A plane-wave DFT calculation with PBE was carried out for TbPmHf after structural relaxation.

Unit cell a=4.6778 b=4.6778 c=8.3292 alpha=90.00 beta=90.00 gamma=90.00
Sites, in units of the cell vectors:
Tb (0.5000, 0.0000, 0.7202)
Tb (0.0000, 0.5000, 0.2798)
Hf (0.0000, 0.0000, 0.0000)
Hf (0.5000, 0.5000, 0.0000)
Pm (0.0000, 0.5000, 0.7095)
Pm (0.5000, 0.0000, 0.2905)

Summary:
Fermi-level density of states ... 9.21 states/eV/cell
Calculated volume ... 182.26 Å³ per cell


Version Q
A plane-wave DFT calculation with PBE was carried out for TbPmHf after structural relaxation.

Unit cell a=3.3730 b=3.3730 c=7.9661 alpha=102.22 beta=102.22 gamma=90.00
Sites, in units of the cell vectors:
Tb (0.0137, 0.0137, 0.0275)
Pm (0.3222, 0.3222, 0.6444)
Hf (0.6641, 0.6641, 0.3281)

Summary:
Fermi-level density of states ... 4.31 states/eV/cell
Calculated volume ... 86.48 Å³ per cell


Version R
A plane-wave DFT calculation with PBE was carried out for TbPmHf after structural relaxation.

Unit cell a=3.3786 b=5.4044 c=5.4044 alpha=120.00 beta=90.00 gamma=90.00
Sites, in units of the cell vectors:
Pm (0.1668, 0.0000, 0.0000)
Tb (0.6668, 0.6667, 0.3333)
Hf (0.1664, 0.3333, 0.6667)

Summary:
Fermi-level density of states ... 6.00 states/eV/cell
Calculated volume ... 85.46 Å³ per cell


Calculated relative energies: version P 9.3; version Q 0.0; version R 8.6, given in kJ/mol of atoms